# PBE InHgBi2, optimized geometry
data_InHgBi2
_cell_length_a 5.029
_cell_length_b 5.029
_cell_length_c 4.610
_cell_angle_alpha 90.00
_cell_angle_beta 90.00
_cell_angle_gamma 90.00
_space_group_name_H-M_alt 'P 1'
_space_group_IT_number 1
_space_group_name_Hall 'P 1'
loop_
_atom_site_label
_atom_site_fract_x
_atom_site_fract_y
_atom_site_fract_z
In1 0.000 0.000 0.000
Hg1 0.500 0.500 0.000
Bi1 0.000 0.500 0.500
Bi2 0.500 0.000 0.500
# ΔH_f (0 K)   0.09 eV per atom
# Fermi-level density of states   2.14 states/eV/f.u.